No. 1
This record from Alexandria describes an optimized crystal structure of Hg2PtSe2. The functional is PBE-GGA.

The structure belongs to space group Ibam (No. 72); the cell edges are 4.3290, 17.8941 and 7.3842 Å and the angles 90.00°, 90.00° and 90.00°. The distinct sites, in fractional coordinates, are Hg at (0.0013, 0.1917, 0.0000), Pt at (0.0000, 0.5000, 0.2500) and Se at (0.0007, 0.4104, 0.0000).

Its crystal system is orthorhombic. The calculation puts the total energy at -0.1036 hartree per atom. The calculation puts the density of states at the Fermi level at 0.273 states/eV/atom.

No. 2
This record from Alexandria describes an optimized crystal structure of HgPtSe. The functional is PBE-GGA.

The structure belongs to space group P3m1 (No. 156); the cell edges are 3.7737, 3.7737 and 5.3457 Å and the angles 90.00°, 90.00° and 120.00°. The distinct sites, in fractional coordinates, are Hg at (0.0000, 0.0000, 0.0000), Pt at (0.3333, 0.6667, 0.3447) and Se at (0.6667, 0.3333, 0.5759).

Its crystal system is trigonal. The calculation puts the total energy at -0.1201 hartree per atom. The calculation puts the density of states at the Fermi level at 0.430 states/eV/atom.

No. 3
This record from Alexandria describes an optimized crystal structure of HgPtSe. The functional is PBE-GGA.

The structure belongs to space group Imm2 (No. 44); the cell edges are 3.3073, 3.4239 and 14.2008 Å and the angles 90.00°, 90.00° and 90.00°. The distinct sites, in fractional coordinates, are Hg at (0.0000, 0.0000, 0.0000), Pt at (0.0000, 0.0000, 0.7130) and Se at (0.0000, 0.0000, 0.2694).

Its crystal system is orthorhombic. The calculation puts the total energy at -0.1174 hartree per atom. The calculation puts the density of states at the Fermi level at 0.374 states/eV/atom.

No. 4
This record from Alexandria describes an optimized crystal structure of Hg4PtSe. The functional is PBE-GGA.

The structure belongs to space group F-43m (No. 216); the cell edges are 8.1640, 8.1640 and 8.1640 Å and the angles 90.00°, 90.00° and 90.00°. The distinct sites, in fractional coordinates, are Hg at (0.1249, 0.1249, 0.1249), Pt at (0.2500, 0.2500, 0.7500) and Se at (0.0000, 0.0000, 0.5000).

Its crystal system is cubic. The calculation puts the total energy at -0.0449 hartree per atom. The calculation puts the density of states at the Fermi level at 0.609 states/eV/atom.